Record 1
Hf2BeGaFe | PBEsol | relaxed

Output
* raw total energy: -7.0178 eV/atom
* magnetic moment: 0.0 μB/f.u.

Unit cell a=4.5920 b=4.5920 c=4.4238 alpha=90.00 beta=90.00 gamma=90.00
Space group P4/mmm (No. 123)
One atom of each set of equivalent atoms:
1 Hf 0.0000 0.5000 0.0000
2 Be 0.0000 0.0000 0.5000
3 Ga 0.5000 0.5000 0.5000
4 Fe 0.5000 0.5000 0.0000

***

Record 2
KBe2GaFe | PBEsol | relaxed

Output
* raw total energy: -3.1113 eV/atom
* magnetic moment: 1.4 μB/f.u.

Unit cell a=4.3104 b=4.3104 c=5.1531 alpha=90.00 beta=90.00 gamma=90.00
Space group P4/mmm (No. 123)
One atom of each set of equivalent atoms:
1 K 0.0000 0.0000 0.0000
2 Be 0.0000 0.5000 0.5000
3 Ga 0.5000 0.5000 0.0000
4 Fe 0.0000 0.0000 0.5000

***

Record 3
KBeFeH2 | PBEsol | relaxed

Output
* raw total energy: -2.7371 eV/atom
* magnetic moment: 2.6 μB/f.u.

Unit cell a=3.8001 b=3.8001 c=5.4579 alpha=90.00 beta=90.00 gamma=90.00
Space group P4/mmm (No. 123)
One atom of each set of equivalent atoms:
1 K 0.0000 0.0000 0.0000
2 Be 0.5000 0.5000 0.0000
3 Fe 0.0000 0.0000 0.5000
4 H 0.0000 0.5000 0.5000

***

Record 4
MnBeFeH2 | PBEsol | relaxed

Output
* raw total energy: -5.1515 eV/atom
* magnetic moment: 4.6 μB/f.u.

Unit cell a=3.1257 b=3.1257 c=4.7574 alpha=90.00 beta=90.00 gamma=90.00
Space group P4/mmm (No. 123)
One atom of each set of equivalent atoms:
1 Mn 0.0000 0.0000 0.0000
2 Be 0.5000 0.5000 0.5000
3 Fe 0.0000 0.0000 0.5000
4 H 0.0000 0.5000 0.0000